# AcNiAsO6

Crystalline AcNiAsO6 at its relaxed geometry (PBE with a Hubbard U, the Alexandria database).

Cell: 4.967 4.967 5.413 Å, 90.00 90.00 120.00°
Positions (direct):
Ac1 0.000 0.000 0.000
Ni1 0.333 0.667 0.500
As1 0.667 0.333 0.500
O1 0.385 0.004 0.696
O2 0.385 0.381 0.304
O3 0.619 0.004 0.304
O4 0.619 0.615 0.696
O5 0.996 0.381 0.696
O6 0.996 0.615 0.304

Output
For the total energy, the calculation gives -0.4603 Ry per atom. Its space-group type is No. 149. Its crystal system is trigonal.